A plane-wave DFT calculation with PBE was carried out for AcHgBiSe after structural relaxation.

abc: 5.1584 5.1584 9.1076
angles: 90.00 90.00 90.00
Space group P4/nmm (No. 129, origin choice 2)
One atom of each set of equivalent atoms:
Ac: 0.2500 0.2500 0.1869 (multiplicity 2)
Hg: 0.2500 0.7500 0.5000 (multiplicity 2)
Bi: 0.2500 0.2500 0.6955 (multiplicity 2)
Se: 0.2500 0.7500 0.0000 (multiplicity 2)

Values from the calculation:
**Fermi-level density of states**: 2.04 states/eV per cell
**Formation energy without anion corrections**: -0.903 eV/atom
**M_tot**: 0.00 μB per cell